# 1
SmLuAgBi | PBE | relaxed

Properties
theoretical density = 10035 kg/m3
D(E_F) = 4.0 states/eV/f.u.
DFT formation energy = -0.3804 eV/atom

Lattice parameters (Å, degrees): 5.3167 5.3167 5.3167 60.00 60.00 60.00
With the nearest neighbours (Å) after each atom.
Atoms (fractional coordinates):
Ag (0.7500, 0.7500, 0.7500)  4 Sm 3.26, 4 Lu 3.26
Lu (0.5000, 0.5000, 0.5000)  4 Ag 3.26, 4 Bi 3.26
Bi (0.2500, 0.2500, 0.2500)  4 Lu 3.26, 4 Sm 3.26
Sm (0.0000, 0.0000, 0.0000)  4 Bi 3.26, 4 Ag 3.26

# 2
Er5SbC | PBE | relaxed

Properties
theoretical density = 8157 kg/m3
D(E_F) = 7.4 states/eV/f.u.
E_form (uncorrected) = -0.26 eV/atom

Lattice parameters (Å, degrees): 7.0327 7.0327 9.2640 71.20 71.20 69.59
With the nearest neighbours (Å) after each atom.
Atoms (fractional coordinates):
Er (0.8885, 0.6861, 0.1394)  1 C 2.42
Er (0.1937, 0.6391, 0.4726)  1 C 2.48
Er (0.6861, 0.8885, 0.6394)  1 C 2.42
Er (0.9406, 0.0594, 0.2500)  2 C 2.36
Er (0.3609, 0.8063, 0.0274)  1 C 2.48
Er (0.6391, 0.1937, 0.9726)  1 C 2.48
Er (0.0594, 0.9406, 0.7500)  2 C 2.36
Er (0.3139, 0.1115, 0.3606)  1 C 2.42
Er (0.8063, 0.3609, 0.5274)  1 C 2.48
Er (0.1115, 0.3139, 0.8606)  1 C 2.42
Sb (0.5770, 0.4230, 0.2500)  5 Er 2.92-3.07
Sb (0.4230, 0.5770, 0.7500)  5 Er 2.92-3.07
C (0.0000, 0.0000, 0.0000)  6 Er 2.36-2.48
C (0.0000, 0.0000, 0.5000)  6 Er 2.36-2.48

# 3
BeSi2 | PBE | relaxed

Properties
E above lowest polymorph = 0.014 eV per atom
theoretical density = 2307 kg/m3
D(E_F) = 0.6 states/eV/f.u.
E_form (uncorrected) = 0.27 eV/atom

Lattice parameters (Å, degrees): 3.7504 3.9726 7.5697 106.91 90.04 118.17
With the nearest neighbours (Å) after each atom.
Atoms (fractional coordinates):
Be (0.7638, 0.4898, 0.1490)  5 Si 2.25-2.30, 1 Be 2.27
Be (0.8028, 0.5702, 0.8641)  5 Si 2.21-2.28, 1 Be 2.27
Si (0.0795, 0.1216, 0.1297)  4 Be 2.25-2.28, 1 Si 2.52
Si (0.7232, 0.4083, 0.5523)  1 Be 2.24, 3 Si 2.37-2.45
Si (0.0120, 0.9861, 0.4370)  1 Be 2.30, 4 Si 2.37-2.52
Si (0.4940, 0.9522, 0.8811)  4 Be 2.21-2.28

# 4
Pm2Dy5Tm5 | PBE | relaxed

Properties
theoretical density = 8621 kg/m3
D(E_F) = 15.5 states/eV/f.u.
DFT formation energy = 0.0207 eV/atom

Lattice parameters (Å, degrees): 5.0042 7.9029 11.1751 115.07 90.00 108.46
With the nearest neighbours (Å) after each atom.
Atoms (fractional coordinates):
Pm (0.0828, 0.1656, 0.7500)  5 Dy 3.53-3.55, 7 Tm 3.54
Pm (0.9172, 0.8344, 0.2500)  5 Dy 3.53-3.55, 7 Tm 3.54
Dy (0.1667, 0.3333, 0.4997)  5 Dy 3.53-3.55, 2 Pm 3.53-3.54, 5 Tm 3.53-3.54
Dy (0.7517, 0.5034, 0.7515)  4 Dy 3.51-3.55, 6 Tm 3.52-3.56, 2 Pm 3.55
Dy (0.2483, 0.4966, 0.2485)  4 Dy 3.51-3.55, 6 Tm 3.52-3.56, 2 Pm 3.55
Dy (0.8333, 0.6667, 0.5003)  5 Dy 3.53-3.55, 2 Pm 3.53-3.54, 5 Tm 3.53-3.54
Dy (0.0000, 0.0000, 0.0000)  2 Dy 3.51, 2 Pm 3.53, 8 Tm 3.54
Tm (0.5000, 0.0000, 0.5000)  4 Pm 3.54, 6 Dy 3.54-3.56, 2 Tm 3.54
Tm (0.6668, 0.3337, 0.0007)  4 Tm 3.52-3.55, 5 Dy 3.52-3.54, 3 Pm 3.54
Tm (0.5840, 0.1680, 0.2499)  7 Dy 3.52-3.54, 3 Tm 3.52-3.55, 2 Pm 3.54
Tm (0.4160, 0.8320, 0.7501)  7 Dy 3.52-3.54, 3 Tm 3.52-3.55, 2 Pm 3.54
Tm (0.3332, 0.6663, 0.9993)  4 Tm 3.52-3.55, 5 Dy 3.52-3.54, 3 Pm 3.54

# 5
AlSe2N2 | PBE | relaxed

Properties
E above lowest polymorph = 0.466 eV per atom
theoretical density = 4398 kg/m3
D(E_F) = 2.7 states/eV/f.u.
E_form (uncorrected) = 1.26 eV/atom

Lattice parameters (Å, degrees): 4.2565 4.2565 5.3619 66.61 66.61 90.00
With the nearest neighbours (Å) after each atom.
Atoms (fractional coordinates):
Al (0.0000, 0.0000, 0.0000)  2 Se 2.68
Se (0.3020, 0.3020, 0.3959)  4 N 2.18
Se (0.6980, 0.6980, 0.6041)  4 N 2.18
N (0.7500, 0.2500, 0.5000)  4 Se 2.18
N (0.2500, 0.7500, 0.5000)  4 Se 2.18

# 6
PmPrLu | PBE | relaxed

Properties
E above lowest polymorph = 0.000 eV per atom
theoretical density = 7652 kg/m3
D(E_F) = 4.9 states/eV/f.u.
DFT formation energy = 0.0329 eV/atom

Lattice parameters (Å, degrees): 3.6235 3.6235 8.0372 103.03 103.03 90.00
With the nearest neighbours (Å) after each atom.
Atoms (fractional coordinates):
Pr (0.0023, 0.0023, 0.0046)  4 Lu 3.59, 4 Pr 3.62, 4 Pm 3.67
Lu (0.6675, 0.6675, 0.3351)  4 Pm 3.56, 4 Pr 3.59, 4 Lu 3.62
Pm (0.3302, 0.3302, 0.6604)  4 Lu 3.56, 4 Pm 3.62, 4 Pr 3.67

The highest D(E_F) belongs to which entry? Pm2Dy5Tm5